# PrY2PuAs4 (PBE, relaxed)
data_PrY2PuAs4
_cell_length_a 4.1821
_cell_length_b 7.2190
_cell_length_c 7.2309
_cell_angle_alpha 70.51
_cell_angle_beta 90.00
_cell_angle_gamma 90.00
_space_group_name_H-M_alt 'P 1'
_space_group_IT_number 1
_space_group_name_Hall 'P 1'
loop_
_atom_site_label
_atom_site_type_symbol
_atom_site_fract_x
_atom_site_fract_y
_atom_site_fract_z
As1 As 0.5000 0.2479 0.7446
As2 As 0.0000 0.2434 0.2582
As3 As 0.5000 0.7521 0.2554
As4 As 0.0000 0.7566 0.7418
Y1 Y 0.5000 0.0000 0.5000
Y2 Y 0.0000 0.0000 0.0000
Pu1 Pu 0.0000 0.5000 0.5000
Pr1 Pr 0.5000 0.5000 0.0000
# DFT formation energy: -1.39 eV/atom
# symmetry: No. 10
# calculated density: 6.96 g cm⁻³